[1]
Here is an optimized crystal structure of KMgMo2 from Alexandria. Energies are from PBE.

Cell: 4.0401 4.0401 11.2750 Å, 79.68 79.68 90.00°
Closest atoms and distances in Å follow each position.
Fractional positions:
Mg (0.5000, 0.5000, 0.0000)  4 K 2.86, 4 Mo 3.00
Mg (0.2500, 0.7500, 0.5000)  4 K 2.86, 4 Mo 3.00
Mo (0.5563, 0.1250, 0.2500)  2 Mo 2.50
Mo (0.1937, 0.6250, 0.2500)  2 Mo 2.50
Mo (0.3750, 0.4437, 0.7500)  2 Mo 2.50
Mo (0.8750, 0.8063, 0.7500)  2 Mo 2.50
K (0.0000, 0.0000, 0.0000)  4 Mg 2.86, 4 Mo 3.18
K (0.7500, 0.2500, 0.5000)  4 Mg 2.86, 4 Mo 3.18

Values from the calculation:
For the calculated volume, the calculation gives 22.25 A^3/atom. The symmetry is I-42d, No. 122. The energy relative to the elements comes out at 1407 meV per atom.


[2]
Here is an optimized crystal structure of K2Mg3Tl12Cd from Alexandria. Energies are from PBE.

Cell: 12.4543 12.4543 12.4543 Å, 36.17 36.17 36.17°
Closest atoms and distances in Å follow each position.
Fractional positions:
K (0.6422, 0.6422, 0.6422)  12 Tl 3.80-4.10
K (0.3578, 0.3578, 0.3578)  12 Tl 3.80-4.10
Mg (0.5000, 0.0000, 0.0000)  4 Tl 2.95
Mg (0.0000, 0.5000, 0.0000)  4 Tl 2.95
Mg (0.0000, 0.0000, 0.5000)  4 Tl 2.95
Tl (0.4107, 0.4107, 0.8189)  2 Mg 2.95, 4 Tl 3.16-3.18
Tl (0.9028, 0.9028, 0.3845)  1 Cd 3.08, 2 Tl 3.18
Tl (0.3845, 0.9028, 0.9028)  1 Cd 3.08, 2 Tl 3.18
Tl (0.8189, 0.4107, 0.4107)  2 Mg 2.95, 4 Tl 3.16-3.18
Tl (0.9028, 0.3845, 0.9028)  1 Cd 3.08, 2 Tl 3.18
Tl (0.4107, 0.8189, 0.4107)  2 Mg 2.95, 4 Tl 3.16-3.18
Tl (0.5893, 0.5893, 0.1811)  2 Mg 2.95, 4 Tl 3.16-3.18
Tl (0.0972, 0.0972, 0.6155)  1 Cd 3.08, 2 Tl 3.18
Tl (0.6155, 0.0972, 0.0972)  1 Cd 3.08, 2 Tl 3.18
Tl (0.1811, 0.5893, 0.5893)  2 Mg 2.95, 4 Tl 3.16-3.18
Tl (0.0972, 0.6155, 0.0972)  1 Cd 3.08, 2 Tl 3.18
Tl (0.5893, 0.1811, 0.5893)  2 Mg 2.95, 4 Tl 3.16-3.18
Cd (0.0000, 0.0000, 0.0000)  6 Tl 3.08

Values from the calculation:
For the calculated volume, the calculation gives 33.45 A^3/atom. The symmetry is R-3m, No. 166. The energy relative to the elements comes out at 67 meV per atom.


[3]
Here is an optimized crystal structure of RbB2Pd from Alexandria. Energies are from PBE.

Cell: 5.7172 5.7172 6.8546 Å, 65.35 65.35 90.00°
Closest atoms and distances in Å follow each position.
Fractional positions:
B (0.8750, 0.1250, 0.2500)  2 Pd 1.99
B (0.8750, 0.6250, 0.2500)  2 Pd 1.99
B (0.3750, 0.1250, 0.7500)  2 Pd 1.99
B (0.8750, 0.1250, 0.7500)  2 Pd 1.99
Rb (0.5000, 0.5000, 0.0000)  8 B 3.48
Rb (0.2500, 0.7500, 0.5000)  8 B 3.48
Pd (0.0000, 0.0000, 0.0000)  4 B 1.99
Pd (0.7500, 0.2500, 0.5000)  4 B 1.99

Values from the calculation:
For the calculated volume, the calculation gives 22.62 A^3/atom. As for the energy above the most stable polymorph in this dataset: 0.000 eV per atom. The symmetry is I4_1/amd, No. 141. The energy relative to the elements comes out at 611 meV per atom.


[4]
Here is an optimized crystal structure of Pm3Dy6Tm2In from Alexandria. Energies are from PBE.

Cell: 6.1339 6.1339 11.6060 Å, 95.07 95.07 120.01°
Closest atoms and distances in Å follow each position.
Fractional positions:
Pm (0.1671, 0.8329, 0.5000)  6 Pm 3.54-3.55, 6 Dy 3.56-3.60
Pm (0.8329, 0.1671, 0.5000)  6 Pm 3.54-3.55, 6 Dy 3.56-3.60
Pm (0.5000, 0.5000, 0.5000)  6 Pm 3.54, 6 Dy 3.57-3.59
Dy (0.9195, 0.5912, 0.7574)  1 In 3.42, 2 Tm 3.46, 6 Dy 3.49-3.57, 3 Pm 3.57-3.60
Dy (0.7524, 0.7524, 0.2438)  1 In 3.44, 2 Tm 3.46, 6 Dy 3.49-3.57, 3 Pm 3.56-3.59
Dy (0.0805, 0.4088, 0.2426)  1 In 3.42, 2 Tm 3.46, 6 Dy 3.49-3.57, 3 Pm 3.57-3.60
Dy (0.5912, 0.9195, 0.7574)  1 In 3.42, 2 Tm 3.46, 6 Dy 3.49-3.57, 3 Pm 3.57-3.60
Dy (0.2476, 0.2476, 0.7562)  1 In 3.44, 2 Tm 3.46, 6 Dy 3.49-3.57, 3 Pm 3.56-3.59
Dy (0.4088, 0.0805, 0.2426)  1 In 3.42, 2 Tm 3.46, 6 Dy 3.49-3.57, 3 Pm 3.57-3.60
Tm (0.3339, 0.6661, 0.0000)  6 Dy 3.46, 3 Tm 3.53-3.55, 3 In 3.54-3.55
Tm (0.6661, 0.3339, 0.0000)  6 Dy 3.46, 3 Tm 3.53-3.55, 3 In 3.54-3.55
In (0.0000, 0.0000, 0.0000)  6 Dy 3.42-3.44, 6 Tm 3.54-3.55

Values from the calculation:
For the calculated volume, the calculation gives 31.02 A^3/atom. The symmetry is C2/m, No. 12. The energy relative to the elements comes out at -34 meV per atom.


[5]
Here is an optimized crystal structure of InTe2I from Alexandria. Energies are from PBE.

Cell: 5.5210 5.5210 5.5210 Å, 60.00 60.00 60.00°
Closest atoms and distances in Å follow each position.
Fractional positions:
I (0.5000, 0.5000, 0.5000)  8 Te 3.38
Te (0.2500, 0.2500, 0.2500)  4 I 3.38, 4 In 3.38
Te (0.7500, 0.7500, 0.7500)  4 In 3.38, 4 I 3.38
In (0.0000, 0.0000, 0.0000)  8 Te 3.38

Values from the calculation:
For the calculated volume, the calculation gives 29.75 A^3/atom. As for the energy above the most stable polymorph in this dataset: 0.429 eV per atom. The symmetry is Fm-3m, No. 225. The formation energy without anion corrections is 0.270 eV per atom.


[6]
Here is an optimized crystal structure of Ta3Tc from Alexandria. Energies are from PBE.

Cell: 2.9138 4.5079 5.3399 Å, 90.00 78.56 90.00°
Closest atoms and distances in Å follow each position.
Fractional positions:
Ta (0.9850, 0.0000, 0.9953)  2 Tc 2.76, 6 Ta 2.76-2.91
Ta (0.5150, 0.0000, 0.5047)  2 Tc 2.76, 6 Ta 2.76-2.91
Ta (0.2500, 0.5000, 0.2500)  2 Tc 2.78, 6 Ta 2.82-2.91
Tc (0.7500, 0.5000, 0.7500)  6 Ta 2.76-2.78, 2 Tc 2.91

Values from the calculation:
For the calculated volume, the calculation gives 17.19 A^3/atom. As for the energy above the most stable polymorph in this dataset: 0.100 eV per atom. The symmetry is P2/m, No. 10. The energy relative to the elements comes out at -178 meV per atom.


[7]
Here is an optimized crystal structure of PaTiS2 from Alexandria. Energies are from PBE.

Cell: 4.0760 4.0752 6.9310 Å, 72.92 72.93 60.00°
Closest atoms and distances in Å follow each position.
Fractional positions:
Pa (0.7247, 0.1697, 0.7243)  4 S 2.65-2.75
Ti (0.2602, 0.7054, 0.1169)  4 S 2.35-2.55
S (0.1303, 0.5752, 0.5074)  1 Ti 2.55, 3 Pa 2.75
S (0.5892, 0.0343, 0.1300)  3 Ti 2.35

Values from the calculation:
For the calculated volume, the calculation gives 23.45 A^3/atom. As for the energy above the most stable polymorph in this dataset: 0.425 eV per atom. The symmetry is R3m, No. 160. The formation energy without anion corrections is -0.943 eV per atom.


[8]
Here is an optimized crystal structure of GeMo2H2 from Alexandria. Energies are from PBE.

Cell: 5.0850 5.0850 5.2925 Å, 106.59 106.59 113.90°
Closest atoms and distances in Å follow each position.
Fractional positions:
Ge (0.1250, 0.8750, 0.2500)  6 Mo 2.67-2.70, 8 H 2.81-2.97
Ge (0.8750, 0.1250, 0.7500)  6 Mo 2.67-2.70, 8 H 2.81-2.97
Mo (0.4390, 0.5610, 0.2500)  4 H 1.90-1.92
Mo (0.8115, 0.1885, 0.2500)  4 H 1.90-1.92
Mo (0.1885, 0.8115, 0.7500)  4 H 1.90-1.92
Mo (0.5610, 0.4390, 0.7500)  4 H 1.90-1.92
H (0.7417, 0.4913, 0.4825)  4 Mo 1.90-1.92, 1 H 2.10
H (0.5087, 0.2583, 0.0175)  4 Mo 1.90-1.92, 1 H 2.10
H (0.4913, 0.7417, 0.9825)  4 Mo 1.90-1.92, 1 H 2.10
H (0.2583, 0.5087, 0.5175)  4 Mo 1.90-1.92, 1 H 2.10

Values from the calculation:
For the calculated volume, the calculation gives 10.66 A^3/atom. As for the energy above the most stable polymorph in this dataset: 0.000 eV per atom. The symmetry is Fddd, No. 70.


[9]
Here is an optimized crystal structure of ErNpTlO6 from Alexandria. Energies are from PBE.

Cell: 5.5912 5.5912 9.8126 Å, 90.00 90.00 120.00°
Closest atoms and distances in Å follow each position.
Fractional positions:
Er (0.0000, 0.0000, 0.0000)  6 O 2.28
Er (0.0000, 0.0000, 0.5000)  6 O 2.28
Np (0.6667, 0.3333, 0.2500)  6 O 2.09
Np (0.3333, 0.6667, 0.7500)  6 O 2.09
Tl (0.3333, 0.6667, 0.2500)  6 O 2.30
Tl (0.6667, 0.3333, 0.7500)  6 O 2.30
O (0.6776, 0.6480, 0.1304)  1 Np 2.09, 1 Er 2.28, 1 Tl 2.30
O (0.9705, 0.3224, 0.1304)  1 Np 2.09, 1 Er 2.28, 1 Tl 2.30
O (0.3224, 0.9705, 0.6304)  1 Np 2.09, 1 Er 2.28, 1 Tl 2.30
O (0.0295, 0.6776, 0.8696)  1 Np 2.09, 1 Er 2.28, 1 Tl 2.30
O (0.3520, 0.3224, 0.3696)  1 Np 2.09, 1 Er 2.28, 1 Tl 2.30
O (0.9705, 0.6480, 0.3696)  1 Np 2.09, 1 Er 2.28, 1 Tl 2.30
O (0.6480, 0.9705, 0.8696)  1 Np 2.09, 1 Er 2.28, 1 Tl 2.30
O (0.6776, 0.0295, 0.3696)  1 Np 2.09, 1 Er 2.28, 1 Tl 2.30
O (0.0295, 0.3520, 0.6304)  1 Np 2.09, 1 Er 2.28, 1 Tl 2.30
O (0.3520, 0.0295, 0.1304)  1 Np 2.09, 1 Er 2.28, 1 Tl 2.30
O (0.6480, 0.6776, 0.6304)  1 Np 2.09, 1 Er 2.28, 1 Tl 2.30
O (0.3224, 0.3520, 0.8696)  1 Np 2.09, 1 Er 2.28, 1 Tl 2.30

Values from the calculation:
For the calculated volume, the calculation gives 14.76 A^3/atom. The symmetry is P-31c, No. 163. The formation energy without anion corrections is -2.356 eV per atom.


[10]
Here is an optimized crystal structure of Li2Pa2TcN6 from Alexandria. Energies are from PBE.

Cell: 5.8291 5.8291 5.2101 Å, 96.79 96.79 119.90°
Closest atoms and distances in Å follow each position.
Fractional positions:
Li (0.8727, 0.1273, 0.0000)  4 N 2.17-2.23
Li (0.1273, 0.8727, 0.0000)  4 N 2.17-2.23
Pa (0.3360, 0.6640, 0.5000)  6 N 2.24-2.32
Pa (0.6640, 0.3360, 0.5000)  6 N 2.24-2.32
Tc (0.0000, 0.0000, 0.5000)  6 N 2.01-2.11
N (0.7528, 0.7528, 0.7114)  1 Tc 2.01, 2 Li 2.23
N (0.0375, 0.3566, 0.7004)  1 Tc 2.11, 1 Li 2.17, 2 Pa 2.24-2.26
N (0.2472, 0.2472, 0.2886)  1 Tc 2.01, 2 Li 2.23
N (0.3566, 0.0375, 0.7004)  1 Tc 2.11, 1 Li 2.17, 2 Pa 2.24-2.26
N (0.9625, 0.6434, 0.2996)  1 Tc 2.11, 1 Li 2.17, 2 Pa 2.24-2.26
N (0.6434, 0.9625, 0.2996)  1 Tc 2.11, 1 Li 2.17, 2 Pa 2.24-2.26

Values from the calculation:
For the calculated volume, the calculation gives 13.56 A^3/atom. The symmetry is C2/m, No. 12. The formation energy without anion corrections is -0.763 eV per atom.


[11]
Here is an optimized crystal structure of Er6AlCu5 from Alexandria. Energies are from PBE.

Cell: 4.8699 6.9768 7.7268 Å, 90.00 71.63 90.00°
Closest atoms and distances in Å follow each position.
Fractional positions:
Al (0.0000, 0.0000, 0.0000)  8 Er 3.04-3.05, 4 Cu 3.33
Cu (0.6678, 0.5000, 0.6643)  8 Er 2.94-2.99
Cu (0.3449, 0.0000, 0.3102)  8 Er 2.91-3.12
Cu (0.0000, 0.5000, 0.0000)  8 Er 2.95-3.03
Cu (0.6551, 0.0000, 0.6898)  8 Er 2.91-3.12
Cu (0.3322, 0.5000, 0.3357)  8 Er 2.94-2.99
Er (0.8304, 0.7478, 0.3392)  7 Cu 2.94-3.12, 1 Al 3.05
Er (0.8304, 0.2522, 0.3392)  7 Cu 2.94-3.12, 1 Al 3.05
Er (0.5000, 0.2603, 0.0000)  6 Cu 2.91-2.98, 2 Al 3.04
Er (0.5000, 0.7397, 0.0000)  6 Cu 2.91-2.98, 2 Al 3.04
Er (0.1696, 0.7478, 0.6608)  7 Cu 2.94-3.12, 1 Al 3.05
Er (0.1696, 0.2522, 0.6608)  7 Cu 2.94-3.12, 1 Al 3.05

Values from the calculation:
For the calculated volume, the calculation gives 20.76 A^3/atom. The symmetry is Cmmm, No. 65. The energy relative to the elements comes out at -288 meV per atom.


[12]
Here is an optimized crystal structure of KCr2Tc from Alexandria. Energies are from PBE.

Cell: 10.2385 10.2385 10.2385 Å, 16.38 16.38 16.38°
Closest atoms and distances in Å follow each position.
Fractional positions:
Cr (0.0189, 0.0189, 0.0189)  3 Tc 2.58
Cr (0.4811, 0.4811, 0.4811)  3 Tc 2.58
K (0.2500, 0.2500, 0.2500)  6 K 2.92
Tc (0.7500, 0.7500, 0.7500)  6 Cr 2.58

Values from the calculation:
For the calculated volume, the calculation gives 18.60 A^3/atom. As for the energy above the most stable polymorph in this dataset: 0.220 eV per atom. The symmetry is R-3m, No. 166. The energy relative to the elements comes out at 1008 meV per atom.